Entry from Alexandria via LeMat-Bulk: an optimized crystal structure of Tb2InAu4 (GGA-PBE).

Cell lengths 4.752, 4.752, 9.008 Å; angles 74.71, 74.71, 60.00 degrees
Fractional positions:
Au 0.866 0.866 0.401
Au 0.134 0.134 0.599
Au 0.629 0.629 0.113
Au 0.371 0.371 0.887
Tb 0.752 0.752 0.744
Tb 0.248 0.248 0.256
In 0.000 0.000 0.000

Energy of formation ... -0.60 eV per atom
Size of the total moment ... 0.00 μB/cell